# LiTiTe

A geometry-optimized LiTiTe structure (PBE, the Alexandria database).

```
6
Lattice="4.022 0.000 0.000 0.000 4.022 0.000 0.000 0.000 7.335" Properties=species:S:1:pos:R:3 pbc="T T T"
Te 2.011 0.000 5.692
Te 0.000 2.011 1.643
Li 2.011 0.000 1.277
Li 0.000 2.011 6.058
Ti 2.011 2.011 3.667
Ti 0.000 0.000 3.667
```

* ΔE_f (raw): -0.70 eV per atom
* Fermi-level density of states: 0.426 states/eV/atom
* crystal system: tetragonal
* theoretical density: 5.11 g/cm3



# PaTiAl2O8

A geometry-optimized PaTiAl2O8 structure (PBE, the Alexandria database).

```
12
Lattice="4.609 0.018 -0.003 0.068 4.608 -0.005 0.004 0.007 6.306" Properties=species:S:1:pos:R:3 pbc="T T T"
Pa 0.002 0.003 3.153
Ti 0.000 0.000 0.000
Al 2.342 2.318 4.850
Al 2.340 2.315 1.448
O 1.007 3.660 1.424
O 3.252 3.221 6.300
O 3.672 0.969 1.425
O 3.674 0.973 4.874
O 1.429 1.412 -0.002
O 1.010 3.663 4.872
O 3.167 3.136 3.147
O 1.514 1.497 3.150
```

* ΔE_f (raw): -2.89 eV per atom
* Fermi-level density of states: 0.526 states/eV/atom
* crystal system: orthorhombic
* theoretical density: 5.71 g/cm3



# Pm2Y3NpN6

A geometry-optimized Pm2Y3NpN6 structure (PBE, the Alexandria database).

```
12
Lattice="6.086 -0.001 0.001 -3.042 5.271 0.001 -1.014 -1.755 5.711" Properties=species:S:1:pos:R:3 pbc="T T T"
Pm -0.001 3.514 0.001
Pm 3.044 1.756 0.001
Y -2.026 3.513 2.857
Y 4.055 0.001 2.857
Y 1.015 1.757 2.857
Np 0.000 0.000 0.000
N 2.978 1.869 4.295
N 2.104 3.643 1.389
N -0.948 1.646 1.419
N 0.130 3.513 4.295
N -0.074 -0.129 4.324
N 1.899 0.001 1.419
```

* ΔE_f (raw): -1.52 eV per atom
* Fermi-level density of states: 0.630 states/eV/atom
* crystal system: monoclinic
* theoretical density: 7.96 g/cm3



# CsTa2Au

A geometry-optimized CsTa2Au structure (PBE, the Alexandria database).

```
4
Lattice="0.000 3.430 3.430 3.430 0.000 3.430 3.430 3.430 0.000" Properties=species:S:1:pos:R:3 pbc="T T T"
Cs 0.000 0.000 0.000
Au 3.430 3.430 3.430
Ta 1.715 1.715 1.715
Ta 5.145 5.145 5.145
```

* energy of formation from the pure elements: 144 kJ/mol of atoms
* Fermi-level density of states: 0.242 states/eV/atom
* ΔE to the lowest computed polymorph: 0.090 eV per atom
* crystal system: cubic
* theoretical density: 14.23 g/cm3



# Pr2InAs3Rh4

A geometry-optimized Pr2InAs3Rh4 structure (PBE, the Alexandria database).

```
10
Lattice="4.183 0.000 0.000 0.000 4.183 0.000 0.000 0.000 11.021" Properties=species:S:1:pos:R:3 pbc="T T T"
Pr 2.091 0.000 2.655
Pr 0.000 2.091 8.366
In 2.091 2.091 5.510
As 0.000 0.000 5.510
As 2.091 0.000 9.600
As 0.000 2.091 1.421
Rh 2.091 2.091 0.000
Rh 0.000 0.000 0.000
Rh 2.091 0.000 7.196
Rh 0.000 2.091 3.825
```

* energy of formation from the pure elements: -80 kJ/mol of atoms
* Fermi-level density of states: 0.485 states/eV/atom
* crystal system: tetragonal
* theoretical density: 8.90 g/cm3



# Pr6Nd3Ho2In

A geometry-optimized Pr6Nd3Ho2In structure (PBE, the Alexandria database).

```
12
Lattice="-0.492 -4.921 -3.940 1.993 -0.854 5.940 -11.623 0.322 2.792" Properties=species:S:1:pos:R:3 pbc="T T T"
Pr -8.079 -4.796 2.021
Pr -1.713 -4.277 2.191
Pr -2.044 -0.658 2.771
Pr -7.268 -3.470 5.242
Pr -8.409 -1.177 2.600
Pr -2.854 -1.984 -0.451
Nd -4.240 -1.383 5.660
Nd -5.882 -4.071 -0.869
Nd -5.061 -2.727 2.396
Ho 1.162 -2.214 2.636
Ho 0.339 -3.561 -0.636
In 0.000 0.000 0.000
```

* energy of formation from the pure elements: -3 kJ/mol of atoms
* Fermi-level density of states: 1.311 states/eV/atom
* crystal system: monoclinic
* theoretical density: 7.05 g/cm3



# HfAl2Pd

A geometry-optimized HfAl2Pd structure (PBE, the Alexandria database).

```
16
Lattice="5.415 0.000 0.000 0.000 6.580 0.000 0.000 0.000 7.744" Properties=species:S:1:pos:R:3 pbc="T T T"
Hf 2.082 1.645 0.210
Hf 4.789 4.935 3.662
Hf 3.333 4.935 7.534
Hf 0.625 1.645 4.082
Al 4.835 0.323 1.500
Al 2.128 6.257 2.372
Al 0.580 3.612 6.244
Al 3.287 2.967 5.372
Al 0.580 6.257 6.244
Al 3.287 0.323 5.372
Al 4.835 2.967 1.500
Al 2.128 3.612 2.372
Pd 3.419 1.645 3.192
Pd 0.712 4.935 0.680
Pd 1.996 4.935 4.552
Pd 4.703 1.645 7.064
```

* energy of formation from the pure elements: -59 kJ/mol of atoms
* Fermi-level density of states: 0.343 states/eV/atom
* crystal system: orthorhombic
* theoretical density: 8.16 g/cm3



# LuScCo

A geometry-optimized LuScCo structure (PBE, the Alexandria database).

```
3
Lattice="4.482 0.000 0.000 2.241 3.882 0.000 2.241 1.294 3.660" Properties=species:S:1:pos:R:3 pbc="T T T"
Sc 4.482 2.588 1.830
Lu 0.000 0.000 0.000
Co 2.241 1.294 0.915
```

* energy of formation from the pure elements: -11 kJ/mol of atoms
* Fermi-level density of states: 1.121 states/eV/atom
* ΔE to the lowest computed polymorph: 0.097 eV per atom
* crystal system: cubic
* theoretical density: 7.27 g/cm3



# Ba2SnBi3

A geometry-optimized Ba2SnBi3 structure (PBE, the Alexandria database).

```
6
Lattice="-0.683 -1.325 -3.654 6.222 -3.433 0.082 -6.638 -4.557 5.024" Properties=species:S:1:pos:R:3 pbc="T T T"
Ba -1.643 -2.995 -0.738
Ba 0.543 -6.319 2.190
Sn 3.111 -1.716 0.041
Bi -2.732 -4.897 2.286
Bi 0.000 0.000 0.000
Bi 1.632 -4.417 -0.835
```

* energy of formation from the pure elements: -34 kJ/mol of atoms
* Fermi-level density of states: 0.761 states/eV/atom
* ΔE to the lowest computed polymorph: 0.252 eV per atom
* crystal system: orthorhombic
* theoretical density: 7.04 g/cm3



# AcMgCd

A geometry-optimized AcMgCd structure (PBE, the Alexandria database).

```
3
Lattice="5.268 0.000 0.000 2.634 4.562 0.000 2.634 1.521 4.301" Properties=species:S:1:pos:R:3 pbc="T T T"
Ac 0.000 0.000 0.000
Mg 5.268 3.041 2.151
Cd 2.634 1.521 1.075
```

* energy of formation from the pure elements: -4 kJ/mol of atoms
* Fermi-level density of states: 1.925 states/eV/atom
* ΔE to the lowest computed polymorph: 0.205 eV per atom
* crystal system: cubic
* theoretical density: 5.84 g/cm3



no.,final energy (eV/atom)
1,-5.017
2,-8.266
3,-9.164
4,-5.467
5,-6.398
6,-4.602
7,-6.268
8,-6.100
9,-3.598
10,-2.252